DFT (PBE-GGA) results for a geometry-optimized Ni4AuBr structure.

Structure (POSCAR):
```
Ni4AuBr
1.0
0.000 3.478 3.478
3.478 0.000 3.478
3.478 3.478 0.000
Ni Au Br
4 1 1
Cartesian
0.869 0.869 0.869 Ni
2.608 2.608 0.869 Ni
2.608 0.869 2.608 Ni
0.869 2.608 2.608 Ni
5.216 5.216 5.216 Au
3.478 3.478 3.478 Br
```

symmetry: No. 216

DFT (PBE-GGA) results for a geometry-optimized NiAu2Br structure.

Structure (POSCAR):
```
NiAu2Br
1.0
3.838 0.000 0.000
0.000 3.793 0.000
-0.021 0.000 5.577
Ni Au Br
1 2 1
Cartesian
0.000 0.000 0.000 Ni
-0.011 0.000 2.788 Au
1.908 1.896 2.788 Au
1.919 1.896 0.000 Br
```

symmetry: No. 10
relative energy among the computed polymorphs: 255.1 meV/atom

DFT (PBE-GGA) results for a geometry-optimized NiAu2Br structure.

Structure (POSCAR):
```
NiAu2Br
1.0
-1.470 2.220 6.302
1.470 -2.220 6.302
1.470 2.220 -6.302
Ni Au Br
1 2 1
Cartesian
0.000 0.000 0.000 Ni
1.470 0.000 2.260 Au
0.000 0.000 6.913 Au
0.000 2.220 4.407 Br
```

symmetry: No. 44
relative energy among the computed polymorphs: 55.0 meV/atom

DFT (PBE-GGA) results for a geometry-optimized NiAu2Br structure.

Structure (POSCAR):
```
NiAu2Br
1.0
3.656 0.000 0.000
0.000 3.196 0.000
-0.040 0.000 6.992
Ni Au Br
1 2 1
Cartesian
0.000 0.000 0.000 Ni
1.790 1.598 5.818 Au
3.617 0.000 4.322 Au
0.012 1.598 1.782 Br
```

symmetry: No. 6
relative energy among the computed polymorphs: 5.0 meV/atom

DFT (PBE-GGA) results for a geometry-optimized NiAu2Br structure.

Structure (POSCAR):
```
NiAu2Br
1.0
2.729 -4.699 0.000
2.729 4.699 0.000
0.000 0.000 2.879
Ni Au Br
1 2 1
Cartesian
0.000 0.000 0.000 Ni
1.364 2.350 1.439 Au
1.364 -2.350 1.439 Au
2.729 0.000 0.000 Br
```

symmetry: No. 65
relative energy among the computed polymorphs: 427.1 meV/atom

DFT (PBE-GGA) results for a geometry-optimized NiAu2Br structure.

Structure (POSCAR):
```
NiAu2Br
1.0
0.000 3.318 3.318
3.318 0.000 3.318
3.318 3.318 0.000
Ni Au Br
1 2 1
Cartesian
0.000 0.000 0.000 Ni
1.659 1.659 1.659 Au
4.977 4.977 4.977 Au
3.318 3.318 3.318 Br
```

symmetry: No. 225
relative energy among the computed polymorphs: 453.4 meV/atom

What did we get for calculated density? Answer: 10.101, 10.894, 10.751, 10.822, 11.977, 12.104 g/cm³, in the order shown.
What did we get for formation energy from raw total energies? Answer: 0.5189, 0.4060, 0.2060, 0.1560, 0.5781, 0.6043 eV/atom, in the order shown.
What did we get for D(E_F)? Answer: 9.65, 2.84, 2.11, 3.18, 3.67, 5.04 states/eV/f.u., in the order shown.